The following is a DFT calculation (PBE-GGA) of an optimized crystal structure of BeTcTe.

Calculated values
space-group type = F-43m (216)
M_tot = 0.01 μB/cell
theoretical density = 7.24 g/cm³
DFT total energy = -15.81 eV/cell

a = 4.2382 Å, b = 4.2382 Å, c = 4.2382 Å
α = 60.00°, β = 60.00°, γ = 60.00°
With the nearest neighbours (Å) after each atom.
Positions (direct):
Be 0.0000 0.0000 0.0000  4 Tc 2.60
Tc 0.7500 0.7500 0.7500  4 Be 2.60, 4 Te 2.60
Te 0.5000 0.5000 0.5000  4 Tc 2.60

=====

The following is a DFT calculation (PBE-GGA) of an optimized crystal structure of RbMgHg.

Calculated values
space-group type = F-43m (216)
theoretical density = 4.17 g/cm³
DFT total energy = -2.55 eV/cell

a = 5.5906 Å, b = 5.5906 Å, c = 5.5906 Å
α = 60.00°, β = 60.00°, γ = 60.00°
With the nearest neighbours (Å) after each atom.
Positions (direct):
Rb 0.0000 0.0000 0.0000  4 Hg 3.42
Mg 0.5000 0.5000 0.5000  4 Hg 3.42
Hg 0.7500 0.7500 0.7500  4 Mg 3.42, 4 Rb 3.42

=====

The following is a DFT calculation (PBE-GGA) of an optimized crystal structure of Cu7Ag3.

Calculated values
space-group type = C2 (5)
theoretical density = 9.28 g/cm³
DFT formation energy = 0.0929 eV per atom

a = 7.1204 Å, b = 7.1204 Å, c = 4.6649 Å
α = 96.32°, β = 96.32°, γ = 141.86°
With the nearest neighbours (Å) after each atom.
Positions (direct):
Cu 0.0000 0.0000 0.0000  9 Cu 2.49-2.69, 2 Ag 2.71
Cu 0.1001 0.8999 0.5000  7 Cu 2.53-2.74, 4 Ag 2.68-2.74
Cu 0.4104 0.5896 0.0000  4 Ag 2.60-2.73, 8 Cu 2.62-2.68
Cu 0.5091 0.4909 0.5000  9 Cu 2.63-2.69, 3 Ag 2.64-2.66
Cu 0.7082 0.2918 0.5000  6 Cu 2.68-2.74, 6 Ag 2.68-2.72
Cu 0.8149 0.1851 0.0000  7 Cu 2.49-2.74, 4 Ag 2.68-2.74
Cu 0.9122 0.0878 0.5000  10 Cu 2.53-2.74, 2 Ag 2.68
Ag 0.2074 0.7926 0.0000  8 Cu 2.68-2.79, 4 Ag 2.71-2.73
Ag 0.3130 0.6870 0.5000  10 Cu 2.64-2.86, 2 Ag 2.73
Ag 0.6038 0.3962 0.0000  10 Cu 2.60-2.84, 2 Ag 2.71

=====

The following is a DFT calculation (PBE-GGA) of an optimized crystal structure of Li2Zr2Al2CuPd.

Calculated values
space-group type = P-4m2 (115)
M_tot = 0.00 μB/cell
theoretical density = 5.54 g/cm³
DFT total energy = -40.73 eV/cell

a = 4.4639 Å, b = 4.4639 Å, c = 6.3210 Å
α = 90.00°, β = 90.00°, γ = 90.00°
With the nearest neighbours (Å) after each atom.
Positions (direct):
Li 0.0000 0.0000 0.0000  4 Al 2.75, 4 Zr 2.77
Li 0.5000 0.5000 0.5000  4 Zr 2.70, 4 Al 2.72
Zr 0.0000 0.5000 0.7417  4 Li 2.70-2.77, 2 Cu 2.70, 2 Pd 2.77
Zr 0.5000 0.0000 0.2583  4 Li 2.70-2.77, 2 Cu 2.70, 2 Pd 2.77
Al 0.0000 0.5000 0.2538  4 Li 2.72-2.75, 2 Cu 2.72, 2 Pd 2.75
Al 0.5000 0.0000 0.7462  4 Li 2.72-2.75, 2 Cu 2.72, 2 Pd 2.75
Cu 0.0000 0.0000 0.5000  4 Zr 2.70, 4 Al 2.72
Pd 0.5000 0.5000 0.0000  4 Al 2.75, 4 Zr 2.77

=====

The following is a DFT calculation (PBE-GGA) of an optimized crystal structure of Gd3In3NiIrPt.

Calculated values
space-group type = P-6 (174)
M_tot = 0.00 μB/cell
theoretical density = 10.82 g/cm³
DFT total energy = -49.52 eV/cell

a = 7.5987 Å, b = 7.5987 Å, c = 3.8735 Å
α = 90.00°, β = 90.00°, γ = 120.00°
With the nearest neighbours (Å) after each atom.
Positions (direct):
Gd 0.0812 0.7409 0.0000  2 Ir 2.97, 2 Pt 3.04, 1 Ni 3.12, 4 In 3.24-3.31
Gd 0.2591 0.3404 0.0000  2 Ir 2.97, 2 Pt 3.04, 1 Ni 3.12, 4 In 3.24-3.31
Gd 0.6596 0.9188 0.0000  2 Ir 2.97, 2 Pt 3.04, 1 Ni 3.12, 4 In 3.24-3.31
In 0.4209 0.0856 0.5000  2 Ni 2.70, 1 Ir 2.91, 1 Pt 2.93
In 0.6647 0.5791 0.5000  2 Ni 2.70, 1 Ir 2.91, 1 Pt 2.93
In 0.9144 0.3353 0.5000  2 Ni 2.70, 1 Ir 2.91, 1 Pt 2.93
Ni 0.6667 0.3333 0.0000  6 In 2.70
Ir 0.3333 0.6667 0.5000  3 In 2.91, 6 Gd 2.97
Pt 0.0000 0.0000 0.5000  3 In 2.93, 6 Gd 3.04

=====

The following is a DFT calculation (PBE-GGA) of an optimized crystal structure of TeAuNO.

Calculated values
space-group type = Pmc2_1 (26)
theoretical density = 7.57 g/cm³
DFT total energy = -37.33 eV/cell

a = 3.3189 Å, b = 7.5047 Å, c = 6.2470 Å
α = 90.00°, β = 90.00°, γ = 90.00°
With the nearest neighbours (Å) after each atom.
Positions (direct):
Te 0.0000 0.1793 0.0000  1 O 1.85
Te 0.0000 0.8207 0.5000  1 O 1.85
Au 0.5000 0.4714 0.5843  2 N 2.05-2.13
Au 0.5000 0.5286 0.0843  2 N 2.05-2.13
N 0.5000 0.3177 0.8552  2 Au 2.05-2.13, 2 Te 2.16
N 0.5000 0.6823 0.3552  2 Au 2.05-2.13, 2 Te 2.16
O 0.0000 0.0251 0.3335  1 Te 1.85
O 0.0000 0.9749 0.8335  1 Te 1.85

=====

The following is a DFT calculation (PBE-GGA) of an optimized crystal structure of BeFeBiPt.

Calculated values
space-group type = F-43m (216)
M_tot = 2.38 μB/cell
theoretical density = 12.28 g/cm³
DFT total energy = -20.91 eV/cell

a = 4.4764 Å, b = 4.4764 Å, c = 4.4764 Å
α = 60.00°, β = 60.00°, γ = 60.00°
With the nearest neighbours (Å) after each atom.
Positions (direct):
Be 0.0000 0.0000 0.0000  4 Pt 2.74, 4 Bi 2.74
Fe 0.5000 0.5000 0.5000  4 Pt 2.74, 4 Bi 2.74
Bi 0.2500 0.2500 0.2500  4 Fe 2.74, 4 Be 2.74
Pt 0.7500 0.7500 0.7500  4 Fe 2.74, 4 Be 2.74

=====

The following is a DFT calculation (PBE-GGA) of an optimized crystal structure of RbTmZnTe3.

Calculated values
space-group type = C2/m (12)
M_tot = 0.00 μB/cell
theoretical density = 5.61 g/cm³
DFT total energy = -42.89 eV/cell

a = 10.1804 Å, b = 10.1804 Å, c = 9.5218 Å
α = 100.73°, β = 100.73°, γ = 25.41°
With the nearest neighbours (Å) after each atom.
Positions (direct):
Rb 0.1434 0.1434 0.0618  7 Te 3.53-3.82
Rb 0.8566 0.8566 0.9382  7 Te 3.53-3.82
Tm 0.1706 0.1706 0.5642  6 Te 3.01-3.33
Tm 0.8294 0.8294 0.4358  6 Te 3.01-3.33
Zn 0.4710 0.4710 0.2731  2 Te 2.65-2.77
Zn 0.5290 0.5290 0.7269  2 Te 2.65-2.77
Te 0.0000 0.0000 0.5000  4 Zn 3.09, 2 Tm 3.33
Te 0.3254 0.3254 0.6457  3 Tm 3.01-3.03
Te 0.3353 0.3353 0.2216  1 Zn 2.65
Te 0.5000 0.5000 0.0000  2 Zn 2.77
Te 0.6647 0.6647 0.7784  1 Zn 2.65
Te 0.6746 0.6746 0.3543  3 Tm 3.01-3.03

=====

The following is a DFT calculation (PBE-GGA) of an optimized crystal structure of Pr2GdMg3Tl2Hg.

Calculated values
space-group type = Amm2 (38)
M_tot = 0.02 μB/cell
theoretical density = 7.74 g/cm³
DFT total energy = -27.42 eV/cell

a = 4.7098 Å, b = 7.6579 Å, c = 7.6579 Å
α = 119.44°, β = 90.00°, γ = 90.00°
With the nearest neighbours (Å) after each atom.
Positions (direct):
Pr 0.0000 0.2083 0.7917  1 Hg 3.22, 4 Tl 3.31-3.32, 2 Mg 3.54
Pr 0.0000 0.7917 0.2083  1 Hg 3.22, 4 Tl 3.31-3.32, 2 Mg 3.54
Gd 0.0000 0.6251 0.6251  1 Hg 3.15, 4 Tl 3.26
Mg 0.5000 0.2100 0.4477  2 Hg 2.96, 2 Tl 2.99-3.03, 2 Mg 3.14-3.16
Mg 0.5000 0.4477 0.2100  2 Hg 2.96, 2 Tl 2.99-3.03, 2 Mg 3.14-3.16
Mg 0.5000 0.9733 0.9733  2 Tl 2.98, 2 Hg 3.02, 2 Mg 3.16
Tl 0.5000 0.5444 0.8713  3 Mg 2.98-3.03, 2 Gd 3.26, 4 Pr 3.31-3.32
Tl 0.5000 0.8713 0.5444  3 Mg 2.98-3.03, 2 Gd 3.26, 4 Pr 3.31-3.32
Hg 0.0000 0.2171 0.2171  6 Mg 2.96-3.02, 1 Gd 3.15, 2 Pr 3.22

=====

The following is a DFT calculation (PBE-GGA) of an optimized crystal structure of HfMoOs2.

Calculated values
space-group type = F-43m (216)
M_tot = 0.13 μB/cell
theoretical density = 16.98 g/cm³
DFT formation energy = 0.0674 eV per atom

a = 4.4906 Å, b = 4.4906 Å, c = 4.4906 Å
α = 60.00°, β = 60.00°, γ = 60.00°
With the nearest neighbours (Å) after each atom.
Positions (direct):
Hf 0.0000 0.0000 0.0000  4 Mo 2.75, 4 Os 2.75
Mo 0.7500 0.7500 0.7500  4 Os 2.75, 4 Hf 2.75
Os 0.2500 0.2500 0.2500  4 Hf 2.75, 4 Os 2.75
Os 0.5000 0.5000 0.5000  4 Mo 2.75, 4 Os 2.75

=====

The following is a DFT calculation (PBE-GGA) of an optimized crystal structure of HoEr2Co2Ni7.

Calculated values
space-group type = R-3m (166)
M_tot = 3.91 μB/cell
theoretical density = 10.07 g/cm³
DFT formation energy = -0.3709 eV per atom

a = 8.5584 Å, b = 8.5584 Å, c = 8.5584 Å
α = 33.43°, β = 33.43°, γ = 33.43°
With the nearest neighbours (Å) after each atom.
Positions (direct):
Ho 0.0000 0.0000 0.0000  6 Co 2.84, 12 Ni 3.16
Er 0.1389 0.1389 0.1389  12 Ni 2.82-3.07, 3 Er 3.14
Er 0.8611 0.8611 0.8611  12 Ni 2.82-3.07, 3 Er 3.14
Co 0.3329 0.3329 0.3329  6 Ni 2.43-2.45
Co 0.6671 0.6671 0.6671  6 Ni 2.43-2.45
Ni 0.0816 0.5822 0.5822  2 Co 2.43-2.45, 5 Ni 2.46-2.50
Ni 0.4178 0.4178 0.9184  2 Co 2.43-2.45, 5 Ni 2.46-2.50
Ni 0.4178 0.9184 0.4178  2 Co 2.43-2.45, 5 Ni 2.46-2.50
Ni 0.5000 0.5000 0.5000  6 Ni 2.50
Ni 0.5822 0.0816 0.5822  2 Co 2.43-2.45, 5 Ni 2.46-2.50
Ni 0.5822 0.5822 0.0816  2 Co 2.43-2.45, 5 Ni 2.46-2.50
Ni 0.9184 0.4178 0.4178  2 Co 2.43-2.45, 5 Ni 2.46-2.50

=====

The following is a DFT calculation (PBE-GGA) of an optimized crystal structure of SbPdCl6.

Calculated values
space-group type = P1 (1)
theoretical density = 3.51 g/cm³
DFT total energy = -24.80 eV/cell

a = 5.2810 Å, b = 6.1638 Å, c = 7.4876 Å
α = 108.93°, β = 95.24°, γ = 111.45°
With the nearest neighbours (Å) after each atom.
Positions (direct):
Sb 0.0000 0.0000 0.0000  2 Cl 2.39-2.66
Pd 0.0260 0.9970 0.5057  4 Cl 2.35-2.36
Cl 0.1642 0.3100 0.3764  1 Pd 2.35
Cl 0.1995 0.3181 0.8205  1 Pd 2.36
Cl 0.4522 0.9958 0.0422  1 Sb 2.39
Cl 0.5277 0.9968 0.5207  2 Pd 2.64
Cl 0.8548 0.6806 0.1883  1 Pd 2.36
Cl 0.8875 0.6814 0.6339  1 Pd 2.35